Run i
The following is a PBE calculation of a geometry-optimized LaNd3Dy3 structure, from Alexandria via LeMat-Bulk.

Calculated values
**DOS at the Fermi energy**: 12.17 states/eV/f.u.

abc: 9.7395 9.7395 5.8414
angles: 90.00 90.00 120.00
Closest atoms and distances in Å follow each position.
Space group P6_3/m (No. 176)
Asymmetric unit:
La (0.3333, 0.6667, 0.2500)  9 Nd 3.62-3.68, 3 Dy 3.73
Nd (0.0951, 0.4742, 0.7500)  3 La 3.62-3.68, 4 Nd 3.63-3.69, 5 Dy 3.63-3.74
Dy (0.0451, 0.2318, 0.2500)  6 Dy 3.58-3.59, 5 Nd 3.63-3.74, 1 La 3.73

Run ii
The following is a PBE calculation of a geometry-optimized LaNd3Dy3 structure, from Alexandria via LeMat-Bulk.

Calculated values
**DOS at the Fermi energy**: 10.86 states/eV/f.u.

abc: 8.7742 8.7742 22.3710
angles: 90.00 90.00 120.00
Closest atoms and distances in Å follow each position.
Space group R-3 (No. 148, hexagonal axes)
Asymmetric unit:
La (0.0000, 0.0000, 0.1540)  6 Dy 3.61-3.85, 6 Nd 3.72-3.83
Nd (0.0499, 0.4481, 0.3802)  4 Dy 3.36-3.67, 2 Nd 3.65, 1 La 3.72
Dy (0.0046, 0.2303, 0.5587)  4 Dy 3.30-3.46, 4 Nd 3.36-3.67, 1 La 3.61

So which one wins? Going from most stable to least: run i, run ii.

Run i
The following is a PBE calculation of a geometry-optimized LaNdDyY structure, from Alexandria via LeMat-Bulk.

Calculated values
**DOS at the Fermi energy**: 6.70 states/eV/f.u.

abc: 5.1546 5.1546 10.2776
angles: 90.00 90.00 90.00
Closest atoms and distances in Å follow each position.
Space group I-4m2 (No. 119)
Asymmetric unit:
La (0.0000, 0.0000, 0.0000)  4 Dy 3.64, 4 Nd 3.64, 4 Y 3.64
Nd (0.0000, 0.5000, 0.7500)  4 Y 3.64, 4 La 3.64, 4 Dy 3.64
Dy (0.0000, 0.5000, 0.2500)  4 La 3.64, 4 Y 3.64, 4 Nd 3.64
Y (0.0000, 0.0000, 0.5000)  4 Dy 3.64, 4 Nd 3.64, 4 La 3.64

Run ii
The following is a PBE calculation of a geometry-optimized LaNdDyY structure, from Alexandria via LeMat-Bulk.

Calculated values
**DOS at the Fermi energy**: 7.45 states/eV/f.u.

abc: 8.1888 8.1888 8.1888
angles: 90.00 90.00 90.00
Closest atoms and distances in Å follow each position.
Space group F-43m (No. 216)
Asymmetric unit:
La (0.0000, 0.0000, 0.0000)  4 Dy 3.55, 4 Y 3.55
Nd (0.0000, 0.0000, 0.5000)  4 Dy 3.55, 4 Y 3.55
Dy (0.2500, 0.2500, 0.7500)  4 Nd 3.55, 4 La 3.55
Y (0.2500, 0.2500, 0.2500)  4 La 3.55, 4 Nd 3.55

So which one wins? Going from most stable to least: run i, run ii.

Run i
The following is a PBE calculation of a geometry-optimized LaNdDyZn structure, from Alexandria via LeMat-Bulk.

Calculated values
**DOS at the Fermi energy**: 5.68 states/eV/f.u.

abc: 7.7707 7.7707 7.7707
angles: 90.00 90.00 90.00
Closest atoms and distances in Å follow each position.
Space group F-43m (No. 216)
Asymmetric unit:
La (0.0000, 0.0000, 0.0000)  4 Dy 3.36, 4 Zn 3.36
Nd (0.0000, 0.0000, 0.5000)  4 Dy 3.36, 4 Zn 3.36
Dy (0.2500, 0.2500, 0.2500)  4 La 3.36, 4 Nd 3.36
Zn (0.2500, 0.2500, 0.7500)  4 La 3.36, 4 Nd 3.36

Run ii
The following is a PBE calculation of a geometry-optimized LaNdDyZn structure, from Alexandria via LeMat-Bulk.

Calculated values
**DOS at the Fermi energy**: 5.83 states/eV/f.u.

abc: 3.6533 3.6533 8.8402
angles: 90.00 90.00 90.00
Closest atoms and distances in Å follow each position.
Space group P4mm (No. 99)
Asymmetric unit:
La (0.0000, 0.0000, 0.0000)  4 Dy 3.65, 4 La 3.65, 4 Nd 3.73
Nd (0.5000, 0.5000, 0.6949)  4 Zn 3.21, 1 Dy 3.56
Dy (0.5000, 0.5000, 0.2920)  4 Zn 3.07
Zn (0.0000, 0.0000, 0.4798)  4 Dy 3.07, 4 Nd 3.21

So which one wins? Going from most stable to least: run ii, run i.

Run i
The following is a PBE calculation of a geometry-optimized La2DyNi structure, from Alexandria via LeMat-Bulk.

Calculated values
**DOS at the Fermi energy**: 5.42 states/eV/f.u.

abc: 3.7283 3.7283 31.4205
angles: 90.00 90.00 120.00
Closest atoms and distances in Å follow each position.
Space group R-3m (No. 166, hexagonal axes)
Asymmetric unit:
La (0.0000, 0.0000, 0.1098)  3 Ni 2.80
Dy (0.0000, 0.0000, 0.0000)  2 La 3.45, 6 Dy 3.73
Ni (0.0000, 0.0000, 0.5000)  6 La 2.80

Run ii
The following is a PBE calculation of a geometry-optimized La2DyNi structure, from Alexandria via LeMat-Bulk.

Calculated values
**DOS at the Fermi energy**: 7.43 states/eV/f.u.

abc: 3.6307 3.6307 8.6654
angles: 90.00 90.00 90.00
Closest atoms and distances in Å follow each position.
Space group P4/mmm (No. 123)
Asymmetric unit:
La (0.0000, 0.0000, 0.1937)  4 Ni 3.07, 1 La 3.36
Dy (0.5000, 0.5000, 0.5000)  4 Dy 3.63, 8 La 3.69
Ni (0.5000, 0.5000, 0.0000)  8 La 3.07

Run iii
The following is a PBE calculation of a geometry-optimized La2DyNi structure, from Alexandria via LeMat-Bulk.

Calculated values
**DOS at the Fermi energy**: 4.74 states/eV/f.u.

abc: 7.0632 10.1813 6.4419
angles: 90.00 90.00 90.00
Closest atoms and distances in Å follow each position.
Space group Pnma (No. 62)
Asymmetric unit:
La (0.1751, 0.0681, 0.1758)  2 Ni 2.88-2.90
Dy (0.0365, 0.2500, 0.6601)  2 Ni 2.80-2.82
Ni (0.1186, 0.7500, 0.9394)  2 Dy 2.80-2.82, 4 La 2.88-2.90

So which one wins? Going from most stable to least: run iii, run ii, run i.

Run i
The following is a PBE calculation of a geometry-optimized LaDy2Ni structure, from Alexandria via LeMat-Bulk.

Calculated values
**DOS at the Fermi energy**: 4.42 states/eV/f.u.

abc: 4.9069 11.9735 7.3247
angles: 90.00 90.00 90.00
Closest atoms and distances in Å follow each position.
Space group Cmcm (No. 63)
Asymmetric unit:
La (0.0000, 0.0387, 0.2500)  1 Ni 2.77
Dy (0.0000, 0.3444, 0.0279)  3 Ni 2.73-2.98
Ni (0.0000, 0.1925, 0.7500)  6 Dy 2.73-2.98, 1 La 2.77

Run ii
The following is a PBE calculation of a geometry-optimized LaDy2Ni structure, from Alexandria via LeMat-Bulk.

Calculated values
**DOS at the Fermi energy**: 4.32 states/eV/f.u.

abc: 6.9560 9.7046 6.4786
angles: 90.00 90.00 90.00
Closest atoms and distances in Å follow each position.
Space group Pnma (No. 62)
Asymmetric unit:
La (0.0354, 0.2500, 0.1409)  2 Ni 2.78-2.97
Dy (0.1728, 0.0679, 0.6745)  2 Ni 2.76-2.84
Ni (0.1160, 0.7500, 0.4313)  4 Dy 2.76-2.84, 2 La 2.78-2.97

Run iii
The following is a PBE calculation of a geometry-optimized LaDy2Ni structure, from Alexandria via LeMat-Bulk.

Calculated values
**DOS at the Fermi energy**: 3.73 states/eV/f.u.

abc: 3.4601 3.4601 8.9505
angles: 90.00 90.00 90.00
Closest atoms and distances in Å follow each position.
Space group P4/mmm (No. 123)
Asymmetric unit:
La (0.0000, 0.0000, 0.0000)  4 La 3.46, 8 Dy 3.78
Dy (0.5000, 0.5000, 0.3218)  4 Ni 2.92, 1 Dy 3.19
Ni (0.0000, 0.0000, 0.5000)  8 Dy 2.92

Run iv
The following is a PBE calculation of a geometry-optimized LaDy2Ni structure, from Alexandria via LeMat-Bulk.

Calculated values
**DOS at the Fermi energy**: 7.84 states/eV/f.u.

abc: 3.5992 3.5992 31.5464
angles: 90.00 90.00 120.00
Closest atoms and distances in Å follow each position.
Space group R-3m (No. 166, hexagonal axes)
Asymmetric unit:
La (0.0000, 0.0000, 0.0000)  2 Dy 3.54, 6 La 3.60
Dy (0.0000, 0.0000, 0.1122)  3 Ni 2.70
Ni (0.0000, 0.0000, 0.5000)  6 Dy 2.70

So which one wins? Going from most stable to least: run ii, run i, run iii, run iv.

Run i
The following is a PBE calculation of a geometry-optimized LaDyNiPt structure, from Alexandria via LeMat-Bulk.

Calculated values
**DOS at the Fermi energy**: 4.14 states/eV/f.u.

abc: 7.0748 7.0748 7.0748
angles: 90.00 90.00 90.00
Closest atoms and distances in Å follow each position.
Space group F-43m (No. 216)
Asymmetric unit:
La (0.0000, 0.0000, 0.0000)  4 Ni 3.06, 4 Pt 3.06
Dy (0.0000, 0.0000, 0.5000)  4 Ni 3.06, 4 Pt 3.06
Ni (0.2500, 0.2500, 0.7500)  4 La 3.06, 4 Dy 3.06
Pt (0.2500, 0.2500, 0.2500)  4 La 3.06, 4 Dy 3.06

Run ii
The following is a PBE calculation of a geometry-optimized LaDyNiPt structure, from Alexandria via LeMat-Bulk.

Calculated values
**DOS at the Fermi energy**: 2.65 states/eV/f.u.

abc: 4.4985 3.9087 10.3831
angles: 90.00 90.00 90.00
Closest atoms and distances in Å follow each position.
Space group Amm2 (No. 38)
Asymmetric unit:
La (0.0000, 0.0000, 0.0000)  3 Ni 2.85-3.05, 4 Pt 3.06
Dy (0.5000, 0.0000, 0.7212)  3 Pt 2.95-2.99, 4 Ni 3.03
Ni (0.0000, 0.0000, 0.2742)  2 Pt 2.79, 3 La 2.85-3.05, 4 Dy 3.03
Pt (0.5000, 0.0000, 0.4337)  2 Ni 2.79, 3 Dy 2.95-2.99, 4 La 3.06

So which one wins? Going from most stable to least: run ii, run i.

Run i
The following is a PBE calculation of a geometry-optimized LaDy2O structure, from Alexandria via LeMat-Bulk.

Calculated values
**DOS at the Fermi energy**: 4.74 states/eV/f.u.

abc: 3.4806 3.4806 28.5888
angles: 90.00 90.00 120.00
Closest atoms and distances in Å follow each position.
Space group R-3m (No. 166, hexagonal axes)
Asymmetric unit:
La (0.0000, 0.0000, 0.0000)  2 Dy 3.44, 6 La 3.48
Dy (0.0000, 0.0000, 0.1204)  3 O 2.41
O (0.0000, 0.0000, 0.5000)  6 Dy 2.41

Run ii
The following is a PBE calculation of a geometry-optimized LaDy2O structure, from Alexandria via LeMat-Bulk.

Calculated values
**DOS at the Fermi energy**: 4.61 states/eV/f.u.

abc: 3.1941 3.1941 9.0022
angles: 90.00 90.00 90.00
Closest atoms and distances in Å follow each position.
Space group P4/mmm (No. 123)
Asymmetric unit:
La (0.0000, 0.0000, 0.0000)  4 La 3.19
Dy (0.5000, 0.5000, 0.3295)  4 O 2.73
O (0.0000, 0.0000, 0.5000)  8 Dy 2.73

So which one wins? Going from most stable to least: run i, run ii.

Run i
The following is a PBE calculation of a geometry-optimized LaDy2Os structure, from Alexandria via LeMat-Bulk.

Calculated values
**DOS at the Fermi energy**: 4.05 states/eV/f.u.

abc: 7.4307 9.3011 6.4903
angles: 90.00 90.00 90.00
Closest atoms and distances in Å follow each position.
Space group Pnma (No. 62)
Asymmetric unit:
La (0.0479, 0.2500, 0.1339)  2 Os 2.73-2.97
Dy (0.1719, 0.0664, 0.6652)  2 Os 2.86-2.96
Os (0.1205, 0.7500, 0.4512)  2 La 2.73-2.97, 4 Dy 2.86-2.96

Run ii
The following is a PBE calculation of a geometry-optimized LaDy2Os structure, from Alexandria via LeMat-Bulk.

Calculated values
**DOS at the Fermi energy**: 2.82 states/eV/f.u.

abc: 3.4277 3.4277 9.4811
angles: 90.00 90.00 90.00
Closest atoms and distances in Å follow each position.
Space group P4/mmm (No. 123)
Asymmetric unit:
La (0.0000, 0.0000, 0.0000)  4 La 3.43
Dy (0.5000, 0.5000, 0.3263)  4 Os 2.93
Os (0.0000, 0.0000, 0.5000)  8 Dy 2.93

Run iii
The following is a PBE calculation of a geometry-optimized LaDy2Os structure, from Alexandria via LeMat-Bulk.

Calculated values
**DOS at the Fermi energy**: 6.50 states/eV/f.u.

abc: 3.5187 3.5187 32.7598
angles: 90.00 90.00 120.00
Closest atoms and distances in Å follow each position.
Space group R-3m (No. 166, hexagonal axes)
Asymmetric unit:
La (0.0000, 0.0000, 0.0000)  6 La 3.52, 2 Dy 3.53
Dy (0.0000, 0.0000, 0.1078)  3 Os 2.80
Os (0.0000, 0.0000, 0.5000)  6 Dy 2.80

So which one wins? Going from most stable to least: run i, run ii, run iii.